5
Lattice="-2.5711 2.5711 6.8708 2.5711 -2.5711 6.8708 2.5711 2.5711 -6.8708" Properties=species:S:1:pos:R:3 comment="BaCa2Pb2, PBEsol geometry, DFT SCAN" space_group="I4/mmm (139)" m_tot_mub_per_atom=0.045 formation_energy_ev_per_atom=-0.666 final_energy_ev_per_atom=-42.754 pbc="T T T"
Ba 0.0000 0.0000 0.0000
Ca 2.5711 0.0000 3.4354
Ca 0.0000 2.5711 3.4354
Pb 0.0000 0.0000 5.3704
Pb 0.0000 0.0000 8.3711



6
Lattice="0.0000 4.6091 4.6091 4.6091 0.0000 4.6091 4.6091 4.6091 0.0000" Properties=species:S:1:pos:R:3 comment="BaCaPb4, PBEsol geometry, DFT SCAN" space_group="F-43m (216)" m_tot_mub_per_atom=0.000 formation_energy_ev_per_atom=-0.516 final_energy_ev_per_atom=-59.239 pbc="T T T"
Ba 0.0000 0.0000 0.0000
Ca 6.9137 6.9137 6.9137
Pb 3.4557 3.4557 3.4557
Pb 5.7625 5.7625 3.4557
Pb 5.7625 3.4557 5.7625
Pb 3.4557 5.7625 5.7625